1 | Entry from Alexandria: a relaxed structure of MoAs2Os (PBE-GGA).

POSCAR file:
```
MoAs2Os
1.0
8.102 -0.010 -0.006
7.549 2.944 -0.006
7.549 1.415 2.581
Mo Os As
1 1 2
Direct
0.250 0.250 0.250 Mo
0.750 0.750 0.750 Os
0.002 0.002 0.002 As
0.498 0.498 0.498 As
```

M_tot	0.000	μB per atom
space-group type	R-3m (166)



2 | Entry from Alexandria: a relaxed structure of MoAs2Os (PBE-GGA).

POSCAR file:
```
MoAs2Os
1.0
2.913 0.000 0.000
0.000 2.913 0.000
0.000 0.000 8.278
Mo Os As
1 1 2
Direct
0.000 0.000 0.523 Mo
0.500 0.500 0.741 Os
0.000 0.000 0.936 As
0.500 0.500 0.301 As
```

M_tot	0.000	μB per atom
space-group type	P4mm (99)



3 | Entry from Alexandria: a relaxed structure of MoAs2Os (PBE-GGA).

POSCAR file:
```
MoAs2Os
1.0
-2.197 -3.205 -0.129
1.279 -0.977 2.515
-3.915 2.564 2.988
Mo Os As
1 1 2
Direct
0.500 0.250 0.250 Mo
0.500 0.750 0.750 Os
0.000 0.750 0.016 As
0.000 0.750 0.484 As
```

M_tot	0.000	μB per atom
space-group type	Pmmm (47)



2 (276 meV/atom below the next structure)



1 | Entry from Alexandria: a relaxed structure of MoAs2Os (PBE-GGA).

POSCAR file:
```
MoAs2Os
1.0
-0.888 4.364 0.634
-4.130 1.301 1.219
-0.730 1.567 4.153
Mo Os As
1 1 2
Direct
0.500 0.500 0.500 Mo
0.750 0.750 0.750 Os
0.000 0.000 0.000 As
0.250 0.250 0.250 As
```

M_tot	0.000	μB per atom
space-group type	F-43m (216)



2 | Entry from Alexandria: a relaxed structure of MoAs2Os (PBE-GGA).

POSCAR file:
```
MoAs2Os
1.0
-2.438 -2.772 2.363
-3.540 -1.872 -1.783
0.021 -4.282 -0.936
Mo Os As
1 1 2
Direct
0.000 0.000 0.000 Mo
0.500 0.500 0.500 Os
0.250 0.250 0.250 As
0.750 0.750 0.750 As
```

M_tot	0.000	μB per atom
space-group type	Fm-3m (225)



3 | Entry from Alexandria: a relaxed structure of MoAs2Os (PBE-GGA).

POSCAR file:
```
MoAs2Os
1.0
-0.703 -1.908 -3.770
-1.748 -3.595 -1.539
-4.924 1.593 -1.103
Mo Os As
1 1 2
Direct
0.750 0.750 0.750 Mo
0.250 0.250 0.250 Os
0.998 0.998 0.004 As
0.502 0.502 0.496 As
```

M_tot	0.000	μB per atom
space-group type	C2/m (12)



4 | Entry from Alexandria: a relaxed structure of MoAs2Os (PBE-GGA).

POSCAR file:
```
MoAs2Os
1.0
4.687 0.005 -0.011
3.629 2.966 -0.011
1.280 0.457 4.437
Mo Os As
1 1 2
Direct
0.500 0.500 0.580 Mo
0.249 0.249 0.180 Os
0.991 0.991 0.046 As
0.760 0.760 0.693 As
```

M_tot	0.000	μB per atom
space-group type	Cm (8)



4 (38 meV/atom below the next structure)



1 | Entry from Alexandria: a relaxed structure of MoAs2Os (PBE-GGA).

POSCAR file:
```
MoAs2Os
1.0
-1.707 -2.869 -2.834
3.885 -0.345 -1.990
0.767 -2.335 1.902
Mo Os As
1 1 2
Direct
0.500 0.000 0.500 Mo
0.000 0.500 0.500 Os
0.000 0.000 0.000 As
0.500 0.500 0.000 As
```

M_tot	0.000	μB per atom
space-group type	P4/mmm (123)



2 | Entry from Alexandria: a relaxed structure of MoAs2Os (PBE-GGA).

POSCAR file:
```
MoAs2Os
1.0
2.822 0.007 0.000
-1.274 2.518 0.000
0.000 0.000 10.114
Mo Os As
1 1 2
Direct
0.000 0.000 0.517 Mo
0.500 0.500 0.737 Os
0.000 0.000 0.945 As
0.500 0.500 0.300 As
```

M_tot	0.000	μB per atom
space-group type	Cmm2 (35)



1 (214 meV/atom below the next structure)



1 | Entry from Alexandria: a relaxed structure of MoAs2Os (PBE-GGA).

POSCAR file:
```
MoAs2Os
1.0
-0.660 -0.841 2.669
3.791 0.837 1.202
-1.486 4.996 1.206
Mo Os As
1 1 2
Direct
0.000 0.000 0.477 Mo
0.500 0.500 0.774 Os
0.000 0.000 0.952 As
0.500 0.500 0.297 As
```

M_tot	0.000	μB per atom
space-group type	Pmm2 (25)



2 | Entry from Alexandria: a relaxed structure of MoAs2Os (PBE-GGA).

POSCAR file:
```
MoAs2Os
1.0
4.818 0.013 0.000
1.469 4.589 0.000
-3.143 -2.301 2.835
Mo Os As
1 1 2
Direct
0.500 0.500 0.000 Mo
0.750 0.250 0.500 Os
0.000 0.000 0.000 As
0.250 0.750 0.500 As
```

M_tot	0.000	μB per atom
space-group type	I-4m2 (119)



1 (273 meV/atom below the next structure)